Compound: BeSb2Os
Source: Alexandria via LeMat-Bulk
Functional: PBE-GGA
Structure: optimized geometry

Unit cell a=3.1244 b=3.1244 c=8.1615 alpha=90.00 beta=90.00 gamma=90.00
Fractional coordinates of all 4 atoms:
Os  0.5000  0.5000  0.6836
Sb  0.5000  0.5000  0.3432
Sb  0.0000  0.0000  0.9032
Be  0.0000  0.0000  0.5700

Computed properties:
E_tot: -5.721 eV per atom
V: 79.67 Å³ per cell
uncorrected formation energy: 79 meV per atom

=====

Compound: BeSb2Os
Source: Alexandria via LeMat-Bulk
Functional: PBE-GGA
Structure: optimized geometry

Unit cell a=5.7656 b=5.7656 c=7.2057 alpha=66.42 beta=66.42 gamma=90.00
Fractional coordinates of all 8 atoms:
Sb  0.1395  0.6250  0.2500
Sb  0.8750  0.8605  0.7500
Sb  0.6105  0.1250  0.2500
Sb  0.3750  0.3895  0.7500
Os  0.0000  0.0000  0.0000
Os  0.7500  0.2500  0.5000
Be  0.5000  0.5000  0.0000
Be  0.2500  0.7500  0.5000

Computed properties:
E_tot: -5.170 eV per atom
V: 197.51 Å³ per cell
uncorrected formation energy: 630 meV per atom

=====

Compound: Be2SbOs2
Source: Alexandria via LeMat-Bulk
Functional: PBE-GGA
Structure: optimized geometry

Unit cell a=6.4804 b=6.4804 c=3.0761 alpha=90.00 beta=90.00 gamma=90.00
Fractional coordinates of all 10 atoms:
Be  0.3814  0.8814  0.0000
Be  0.8814  0.6186  0.0000
Be  0.1186  0.3814  0.0000
Be  0.6186  0.1186  0.0000
Os  0.1635  0.6635  0.5000
Os  0.6635  0.8365  0.5000
Os  0.8365  0.3365  0.5000
Os  0.3365  0.1635  0.5000
Sb  0.0000  0.0000  0.0000
Sb  0.5000  0.5000  0.0000

Computed properties:
E_tot: -6.544 eV per atom
V: 129.18 Å³ per cell
uncorrected formation energy: 263 meV per atom

=====

Compound: BeSb2TeOs
Source: Alexandria via LeMat-Bulk
Functional: PBE-GGA
Structure: optimized geometry

Unit cell a=4.6854 b=4.6854 c=4.8304 alpha=90.00 beta=90.00 gamma=90.00
Fractional coordinates of all 5 atoms:
Sb  0.5000  0.0000  0.0000
Sb  0.0000  0.5000  0.0000
Os  0.5000  0.5000  0.5000
Te  0.0000  0.0000  0.5000
Be  0.0000  0.0000  0.0000

Computed properties:
E_tot: -4.069 eV per atom
V: 106.04 Å³ per cell
uncorrected formation energy: 1199 meV per atom

=====

Compound: BeSb2TeOs
Source: Alexandria via LeMat-Bulk
Functional: PBE-GGA
Structure: optimized geometry

Unit cell a=4.9798 b=4.9798 c=5.8340 alpha=90.00 beta=90.00 gamma=90.00
Fractional coordinates of all 5 atoms:
Os  0.0000  0.0000  0.0000
Be  0.5000  0.5000  0.5000
Sb  0.0000  0.5000  0.0000
Sb  0.5000  0.0000  0.0000
Te  0.0000  0.0000  0.5000

Computed properties:
E_tot: -4.186 eV per atom
V: 144.67 Å³ per cell
uncorrected formation energy: 1083 meV per atom

=====

Compound: ScBe2Os
Source: Alexandria via LeMat-Bulk
Functional: PBE-GGA
Structure: optimized geometry

Unit cell a=3.9749 b=3.9749 c=8.4862 alpha=76.46 beta=76.46 gamma=90.00
Fractional coordinates of all 8 atoms:
Be  0.8641  0.6250  0.2500
Be  0.3750  0.1141  0.7500
Be  0.8750  0.1359  0.7500
Be  0.8859  0.1250  0.2500
Sc  0.5000  0.5000  0.0000
Sc  0.2500  0.7500  0.5000
Os  0.0000  0.0000  0.0000
Os  0.7500  0.2500  0.5000

Computed properties:
E_tot: -6.063 eV per atom
V: 126.51 Å³ per cell
DFT formation energy: 74 kJ/mol of formula units